First-principles (PBE) data for an optimized crystal structure of Tb4Bi2SbSe, as listed in Alexandria via LeMat-Bulk.

Results
Uncorrected formation energy = -1.16 eV per atom
Fermi-level density of states = 0.195 states/eV/atom
Space group = No. 10

a = 4.379 Å, b = 7.589 Å, c = 7.570 Å
α = 70.58°, β = 90.00°, γ = 90.00°
Sites, in units of the cell vectors:
Tb 0.500 0.260 0.751
Tb 0.500 0.740 0.249
Tb 0.000 0.738 0.757
Tb 0.000 0.262 0.243
Bi 0.000 0.000 0.000
Bi 0.500 0.000 0.500
Sb 0.000 0.500 0.500
Se 0.500 0.500 0.000